No. 1
Entry from the Alexandria database: Zr6Ga16Pt7 at its PBEsol-relaxed geometry (SCAN).

## Properties
The calculation puts the formation enthalpy at 0 K at -2306 kJ/mol of formula units.

a b c (Å): 12.3588 12.3588 12.3588
angles (deg): 90.00 90.00 90.00
Space group Fm-3m (No. 225)
Unique sites:
Zr  0.0000  0.0000  0.1971
Ga  0.1222  0.1222  0.3778
Ga  0.1559  0.1559  0.1559
Pt  0.0000  0.0000  0.5000
Pt  0.0000  0.2500  0.2500



No. 2
Entry from the Alexandria database: Zr2GaPt2 at its PBEsol-relaxed geometry (SCAN).

## Properties
The calculation puts the formation enthalpy at 0 K at -556 kJ/mol of formula units.

a b c (Å): 4.1598 5.4084 8.0134
angles (deg): 90.00 90.00 90.00
Space group Immm (No. 71)
Unique sites:
Zr  0.0000  0.0000  0.2004
Ga  0.0000  0.5000  0.0000
Pt  0.0000  0.2626  0.5000